Entry 1:
# ScRe2Ni

A relaxed ScRe2Ni crystal (PBE-GGA, Alexandria).

SG: P2/m, No. 10
Distance to the lowest polymorph of the same formula (kcal/mol of atoms): 3.61
Energy of formation (eV/atom): 0.079

Geometry as POSCAR:
```
ScRe2Ni
1.0
2.765 0.000 0.000
0.000 4.660 0.000
-0.489 0.000 4.767
Sc Re Ni
1 2 1
direct
0.000 0.000 0.000
0.309 0.500 0.749
0.691 0.500 0.251
0.500 0.000 0.500
```

***

Entry 2:
# Sr2HfSnO6

A relaxed Sr2HfSnO6 crystal (PBE-GGA, Alexandria).

SG: P2_1/c, No. 14
Distance to the lowest polymorph of the same formula (kcal/mol of atoms): 0.00
Formation energy from raw total energies (eV/atom): -2.820

Geometry as POSCAR:
```
Sr2HfSnO6
1.0
5.792 0.000 0.000
0.000 5.817 0.000
-5.788 0.000 8.198
Sr Hf Sn O
4 2 2 12
direct
0.244 0.025 0.250
0.244 0.475 0.750
0.756 0.525 0.250
0.756 0.975 0.750
0.500 0.000 0.000
0.500 0.500 0.500
0.000 0.000 0.500
0.000 0.500 0.000
0.185 0.219 0.965
0.185 0.281 0.465
0.246 0.720 0.965
0.246 0.780 0.465
0.317 0.014 0.750
0.317 0.486 0.250
0.683 0.514 0.750
0.683 0.986 0.250
0.754 0.220 0.535
0.754 0.280 0.035
0.815 0.719 0.535
0.815 0.781 0.035
```

***

Entry 3:
# Er4Hg2Te5

A relaxed Er4Hg2Te5 crystal (PBE-GGA, Alexandria).

SG: C2/m, No. 12
Formation energy from raw total energies (eV/atom): -0.807

Geometry as POSCAR:
```
Er4Hg2Te5
1.0
12.018 -2.126 0.000
12.018 2.126 0.000
-3.263 0.000 8.238
Er Hg Te
4 2 5
direct
0.000 0.000 0.241
0.000 0.000 0.759
0.374 0.374 0.374
0.626 0.626 0.626
0.239 0.239 0.237
0.761 0.761 0.763
0.132 0.132 0.394
0.132 0.132 0.871
0.500 0.500 0.000
0.868 0.868 0.129
0.868 0.868 0.606
```

***

Entry 4:
# Mg2IrPdI

A relaxed Mg2IrPdI crystal (PBE-GGA, Alexandria).

SG: P4/mmm, No. 123
Formation energy from raw total energies (eV/atom): 1.138

Geometry as POSCAR:
```
Mg2IrPdI
1.0
5.273 0.000 0.000
0.000 5.273 0.000
0.000 0.000 4.853
Mg Ir Pd I
2 1 1 1
direct
0.000 0.500 0.000
0.500 0.000 0.000
0.000 0.000 0.500
0.500 0.500 0.500
0.000 0.000 0.000
```

***

Entry 5:
# Pr4Sn2F

A relaxed Pr4Sn2F crystal (PBE-GGA, Alexandria).

SG: I4/mmm, No. 139
Formation energy from raw total energies (eV/atom): -1.133

Geometry as POSCAR:
```
Pr4Sn2F
1.0
4.820 0.000 0.000
0.000 4.820 0.000
0.000 0.000 17.864
Pr Sn F
8 4 2
direct
0.000 0.000 0.183
0.000 0.000 0.817
0.000 0.500 0.000
0.000 0.500 0.500
0.500 0.000 0.000
0.500 0.000 0.500
0.500 0.500 0.317
0.500 0.500 0.683
0.000 0.000 0.366
0.000 0.000 0.634
0.500 0.500 0.134
0.500 0.500 0.866
0.000 0.000 0.000
0.500 0.500 0.500
```

***

Entry 6:
# ZrIn2Fe

A relaxed ZrIn2Fe crystal (PBE-GGA, Alexandria).

SG: I-4m2, No. 119
Energy of formation (eV/atom): 0.069

Geometry as POSCAR:
```
ZrIn2Fe
1.0
4.247 0.000 0.000
0.000 4.247 0.000
0.000 0.000 8.847
Zr In Fe
2 4 2
direct
0.000 0.000 0.000
0.500 0.500 0.500
0.000 0.000 0.500
0.000 0.500 0.250
0.500 0.000 0.750
0.500 0.500 0.000
0.000 0.500 0.750
0.500 0.000 0.250
```

***

Raw total energy, record by record: -9.17, -7.53, -3.95, -2.62, -5.27, -5.55 eV/atom